# PBE Re2SbPd2, optimized geometry
data_Re2SbPd2
_chemical_formula_sum 'Re4 Sb2 Pd4'
_cell_length_a 3.583
_cell_length_b 3.583
_cell_length_c 14.096
_cell_angle_alpha 90.00
_cell_angle_beta 90.00
_cell_angle_gamma 90.00
_symmetry_space_group_name_H-M 'I 4/m m m'
_symmetry_Int_Tables_number 139
_symmetry_space_group_name_Hall '-I 4 2'
loop_
_atom_site_label
_atom_site_fract_x
_atom_site_fract_y
_atom_site_fract_z
Re1 0.000 0.500 0.250
Sb1 0.000 0.000 0.000
Pd1 0.000 0.000 0.400
# * V: 18.10 Å³/atom
# * uncorrected formation energy: 31.4 kJ/mol of atoms
# * E above lowest polymorph: 0.000 eV/atom
# * magnetization: 0.00 μB per atom
# * DFT total energy: -0.2776 hartree per atom